# CaTcPt2 | the Alexandria database | PBE | relaxed
data_CaTcPt2
_cell_length_a 3.321
_cell_length_b 3.321
_cell_length_c 6.721
_cell_angle_alpha 90.00
_cell_angle_beta 90.00
_cell_angle_gamma 90.00
_symmetry_space_group_name_H-M 'P 4 m m'
_symmetry_Int_Tables_number 99
loop_
_symmetry_equiv_pos_as_xyz
'x,y,z'
'-y,x,z'
'-x,-y,z'
'y,-x,z'
'-x,y,z'
'y,x,z'
'x,-y,z'
'-y,-x,z'
loop_
_atom_site_label
_atom_site_fract_x
_atom_site_fract_y
_atom_site_fract_z
_atom_site_occupancy
Ca1 0.000 0.000 0.000 1
Tc1 0.500 0.500 0.681 1
Pt1 0.000 0.000 0.505 1
Pt2 0.500 0.500 0.273 1
# Formation energy from the elements, meV per atom: 22
# Spin magnetization, Bohr magnetons per cell: 0.08
# ΔE to the lowest computed polymorph, meV/atom: 314